# 1
## RuPtW3 (GGA-PBE)

Data for an optimized crystal structure of RuPtW3.

CIF file:
```
data_RuPtW3
_chemical_formula_sum 'Ru1 Pt1 W3'
_cell_length_a 4.636
_cell_length_b 4.636
_cell_length_c 4.636
_cell_angle_alpha 90.00
_cell_angle_beta 90.00
_cell_angle_gamma 90.00
_symmetry_space_group_name_H-M 'P 1'
_symmetry_Int_Tables_number 1
loop_
_symmetry_equiv_pos_as_xyz
'x,y,z'
loop_
_atom_site_label
_atom_site_type_symbol
_atom_site_fract_x
_atom_site_fract_y
_atom_site_fract_z
Ru1 Ru 0.000 0.000 0.000
Pt1 Pt 0.500 0.500 0.500
W1 W 0.000 0.000 0.500
W2 W 0.000 0.500 0.000
W3 W 0.500 0.000 0.000
```

Computed properties:
**DOS(E_F)**: 0.871 states/eV/atom
**Formation energy from the elements**: 177.7 kJ/mol of atoms
**Offset from the most stable computed form**: 0.0 kJ/mol of atoms
**Energy**: -8.994 eV per atom



# 2
## Ru3PtW (GGA-PBE)

Data for an optimized crystal structure of Ru3PtW.

CIF file:
```
data_Ru3PtW
_chemical_formula_sum 'Ru9 Pt3 W3'
_cell_length_a 5.190
_cell_length_b 5.190
_cell_length_c 13.110
_cell_angle_alpha 90.00
_cell_angle_beta 90.00
_cell_angle_gamma 120.00
_symmetry_space_group_name_H-M 'P 1'
_symmetry_Int_Tables_number 1
loop_
_symmetry_equiv_pos_as_xyz
'x,y,z'
loop_
_atom_site_label
_atom_site_type_symbol
_atom_site_fract_x
_atom_site_fract_y
_atom_site_fract_z
Ru1 Ru 0.000 0.500 0.000
Ru2 Ru 0.167 0.333 0.333
Ru3 Ru 0.167 0.833 0.333
Ru4 Ru 0.333 0.167 0.667
Ru5 Ru 0.500 0.000 0.000
Ru6 Ru 0.500 0.500 0.000
Ru7 Ru 0.667 0.833 0.333
Ru8 Ru 0.833 0.167 0.667
Ru9 Ru 0.833 0.667 0.667
Pt1 Pt 0.000 0.000 0.500
Pt2 Pt 0.333 0.667 0.167
Pt3 Pt 0.667 0.333 0.833
W1 W 0.000 0.000 0.000
W2 W 0.333 0.667 0.667
W3 W 0.667 0.333 0.333
```

Computed properties:
**DOS(E_F)**: 1.412 states/eV/atom
**Formation energy from the elements**: 124.7 kJ/mol of atoms
**Offset from the most stable computed form**: 0.0 kJ/mol of atoms
**Energy**: -8.072 eV per atom



# 3
## RuPtW (GGA-PBE)

Data for an optimized crystal structure of RuPtW.

CIF file:
```
data_RuPtW
_chemical_formula_sum 'Ru1 Pt1 W1'
_cell_length_a 2.788
_cell_length_b 2.788
_cell_length_c 6.794
_cell_angle_alpha 90.00
_cell_angle_beta 90.00
_cell_angle_gamma 120.00
_symmetry_space_group_name_H-M 'P 1'
_symmetry_Int_Tables_number 1
loop_
_symmetry_equiv_pos_as_xyz
'x,y,z'
loop_
_atom_site_label
_atom_site_type_symbol
_atom_site_fract_x
_atom_site_fract_y
_atom_site_fract_z
Ru1 Ru 0.000 0.000 0.000
Pt1 Pt 0.333 0.667 0.653
W1 W 0.667 0.333 0.315
```

Computed properties:
**DOS(E_F)**: 0.853 states/eV/atom
**Formation energy from the elements**: -2.9 kJ/mol of atoms
**Offset from the most stable computed form**: 12.9 kJ/mol of atoms
**Energy**: -9.453 eV per atom